Record 1
## H16PtC4N2Cl6 (PBEsol)

Data for a relaxed structure of H16PtC4N2Cl6.

Lattice parameters (Å, degrees): 13.121 9.869 6.945 90.00 120.45 90.00
Space group C2/m (No. 12)
Unique sites:
H  0.131  0.000  0.198 [4 per cell]
H  0.148  0.373  0.740 [8 per cell]
H  0.176  0.000  0.012 [4 per cell]
H  0.196  0.373  0.539 [8 per cell]
H  0.218  0.213  0.199 [8 per cell]
Pt  0.000  0.000  0.500 [2 per cell]
C  0.225  0.375  0.717 [8 per cell]
N  0.206  0.000  0.183 [4 per cell]
Cl  0.008  0.164  0.269 [8 per cell]
Cl  0.205  0.000  0.717 [4 per cell]



Record 2
## Sb2H24C6N3Cl9 (PBEsol)

Data for a relaxed structure of Sb2H24C6N3Cl9.

Lattice parameters (Å, degrees): 9.374 8.930 13.970 90.00 95.32 90.00
Space group Pc (No. 7)
Unique sites:
Sb  0.000  0.203  0.000 [2 per cell]
Sb  0.309  0.293  0.665 [2 per cell]
H  0.041  0.447  0.385 [2 per cell]
H  0.061  0.258  0.430 [2 per cell]
H  0.142  0.117  0.245 [2 per cell]
H  0.191  0.380  0.261 [2 per cell]
H  0.228  0.089  0.364 [2 per cell]
H  0.277  0.355  0.372 [2 per cell]
H  0.331  0.152  0.269 [2 per cell]
H  0.380  0.203  0.076 [2 per cell]
H  0.418  0.227  0.908 [2 per cell]
H  0.429  0.015  0.485 [2 per cell]
H  0.452  0.383  0.046 [2 per cell]
H  0.547  0.002  0.390 [2 per cell]
H  0.568  0.242  0.105 [2 per cell]
H  0.595  0.255  0.937 [2 per cell]
H  0.617  0.013  0.014 [2 per cell]
H  0.644  0.363  0.604 [2 per cell]
H  0.760  0.483  0.745 [2 per cell]
H  0.769  0.234  0.490 [2 per cell]
H  0.778  0.283  0.753 [2 per cell]
H  0.780  0.466  0.573 [2 per cell]
H  0.786  0.137  0.603 [2 per cell]
H  0.926  0.395  0.719 [2 per cell]
H  0.931  0.249  0.569 [2 per cell]
H  0.971  0.292  0.313 [2 per cell]
C  0.057  0.330  0.366 [2 per cell]
C  0.227  0.157  0.299 [2 per cell]
C  0.474  0.262  0.053 [2 per cell]
C  0.526  0.037  0.962 [2 per cell]
C  0.809  0.384  0.714 [2 per cell]
C  0.814  0.239  0.565 [2 per cell]
N  0.195  0.314  0.323 [2 per cell]
N  0.504  0.201  0.959 [2 per cell]
N  0.755  0.371  0.612 [2 per cell]
Cl  0.122  0.465  0.120 [2 per cell]
Cl  0.168  0.023  0.557 [2 per cell]
Cl  0.204  0.267  0.839 [2 per cell]
Cl  0.430  0.340  0.507 [2 per cell]
Cl  0.462  0.489  0.742 [2 per cell]
Cl  0.506  0.113  0.712 [2 per cell]
Cl  0.795  0.397  0.949 [2 per cell]
Cl  0.864  0.149  0.136 [2 per cell]
Cl  0.869  0.033  0.888 [2 per cell]



Record 3
## SbH24C6N3Cl6 (PBEsol)

Data for a relaxed structure of SbH24C6N3Cl6.

Lattice parameters (Å, degrees): 9.401 10.037 11.148 66.04 77.56 76.48
Space group P-1 (No. 2)
Unique sites:
Sb  0.172  0.486  0.342 [2 per cell]
H  0.004  0.173  0.634 [2 per cell]
H  0.034  0.009  0.881 [2 per cell]
H  0.056  0.017  0.604 [2 per cell]
H  0.073  0.136  0.039 [2 per cell]
H  0.076  0.850  0.837 [2 per cell]
H  0.106  0.872  0.442 [2 per cell]
H  0.165  0.078  0.253 [2 per cell]
H  0.176  0.562  0.854 [2 per cell]
H  0.207  0.916  0.213 [2 per cell]
H  0.253  0.484  0.671 [2 per cell]
H  0.263  0.288  0.910 [2 per cell]
H  0.275  0.060  0.880 [2 per cell]
H  0.305  0.347  0.028 [2 per cell]
H  0.305  0.648  0.632 [2 per cell]
H  0.314  0.880  0.874 [2 per cell]
H  0.352  0.174  0.631 [2 per cell]
H  0.361  0.585  0.846 [2 per cell]
H  0.385  0.008  0.619 [2 per cell]
H  0.405  0.919  0.976 [2 per cell]
H  0.427  0.081  0.233 [2 per cell]
H  0.432  0.490  0.667 [2 per cell]
H  0.448  0.313  0.904 [2 per cell]
H  0.461  0.903  0.223 [2 per cell]
H  0.477  0.888  0.438 [2 per cell]
C  0.014  0.072  0.135 [2 per cell]
C  0.117  0.997  0.238 [2 per cell]
C  0.293  0.516  0.834 [2 per cell]
C  0.330  0.356  0.924 [2 per cell]
C  0.363  0.966  0.880 [2 per cell]
C  0.487  0.013  0.769 [2 per cell]
N  0.037  0.914  0.369 [2 per cell]
N  0.323  0.535  0.692 [2 per cell]
N  0.434  0.081  0.638 [2 per cell]
Cl  0.028  0.314  0.323 [2 per cell]
Cl  0.139  0.320  0.643 [2 per cell]
Cl  0.199  0.626  0.105 [2 per cell]
Cl  0.266  0.893  0.560 [2 per cell]
Cl  0.357  0.646  0.365 [2 per cell]
Cl  0.393  0.305  0.327 [2 per cell]



Record 4
## H12W3C4NCl9 (PBEsol)

Data for a relaxed structure of H12W3C4NCl9.

Lattice parameters (Å, degrees): 10.8872 10.8872 8.5016 90.00 90.00 120.00
Space group P-3m1 (No. 164)
Unique sites:
H  0.1304  0.4822  0.1798 [12 per cell]
H  0.1857  0.5928  0.0067 [6 per cell]
H  0.2781  0.5562  0.4115 [6 per cell]
W  0.0901  0.1801  0.6277 [6 per cell]
C  0.1842  0.5921  0.1361 [6 per cell]
C  0.3333  0.6667  0.3698 [2 per cell]
N  0.3333  0.6667  0.1945 [2 per cell]
Cl  0.0000  0.3148  0.5000 [6 per cell]
Cl  0.1008  0.2017  0.1871 [6 per cell]
Cl  0.1940  0.3880  0.7976 [6 per cell]



Record 5
## H32WC8N4Cl7 (PBEsol)

Data for a relaxed structure of H32WC8N4Cl7.

Lattice parameters (Å, degrees): 10.052 12.644 8.613 90.00 90.00 90.00
Space group P2_12_12 (No. 18)
Unique sites:
H  0.015  0.158  0.312 [4 per cell]
H  0.038  0.147  0.590 [4 per cell]
H  0.068  0.601  0.117 [4 per cell]
H  0.095  0.947  0.618 [4 per cell]
H  0.100  0.821  0.713 [4 per cell]
H  0.107  0.947  0.321 [4 per cell]
H  0.132  0.736  0.475 [4 per cell]
H  0.148  0.825  0.227 [4 per cell]
H  0.150  0.747  0.952 [4 per cell]
H  0.153  0.476  0.108 [4 per cell]
H  0.173  0.565  0.865 [4 per cell]
H  0.176  0.056  0.045 [4 per cell]
H  0.187  0.236  0.963 [4 per cell]
H  0.208  0.226  0.171 [4 per cell]
H  0.230  0.586  0.203 [4 per cell]
H  0.242  0.835  0.487 [4 per cell]
W  0.000  0.500  0.585 [2 per cell]
C  0.069  0.863  0.608 [4 per cell]
C  0.091  0.861  0.323 [4 per cell]
C  0.165  0.562  0.106 [4 per cell]
C  0.247  0.708  0.943 [4 per cell]
N  0.140  0.819  0.472 [4 per cell]
N  0.229  0.593  0.958 [4 per cell]
Cl  0.000  0.000  0.984 [2 per cell]
Cl  0.073  0.380  0.788 [4 per cell]
Cl  0.076  0.372  0.393 [4 per cell]
Cl  0.217  0.585  0.575 [4 per cell]



Record 6
## ZnH12C2N6Cl4 (PBEsol)

Data for a relaxed structure of ZnH12C2N6Cl4.

Lattice parameters (Å, degrees): 7.133 7.395 12.670 76.42 79.86 78.55
Space group P-1 (No. 2)
Unique sites:
Zn  0.057  0.288  0.276 [2 per cell]
H  0.118  0.655  0.401 [2 per cell]
H  0.163  0.854  0.438 [2 per cell]
H  0.183  0.747  0.174 [2 per cell]
H  0.207  0.721  0.895 [2 per cell]
H  0.223  0.577  0.028 [2 per cell]
H  0.247  0.028  0.858 [2 per cell]
H  0.250  0.139  0.967 [2 per cell]
H  0.257  0.970  0.139 [2 per cell]
H  0.334  0.232  0.640 [2 per cell]
H  0.383  0.517  0.673 [2 per cell]
H  0.392  0.409  0.375 [2 per cell]
H  0.461  0.939  0.389 [2 per cell]
C  0.237  0.858  0.011 [2 per cell]
C  0.403  0.681  0.383 [2 per cell]
N  0.210  0.709  0.977 [2 per cell]
N  0.215  0.726  0.417 [2 per cell]
N  0.250  0.847  0.117 [2 per cell]
N  0.254  0.020  0.939 [2 per cell]
N  0.474  0.515  0.356 [2 per cell]
N  0.480  0.194  0.624 [2 per cell]
Cl  0.062  0.401  0.725 [2 per cell]
Cl  0.192  0.857  0.719 [2 per cell]
Cl  0.211  0.176  0.425 [2 per cell]
Cl  0.271  0.279  0.122 [2 per cell]



no.,final energy (eV/cell)
1,-277.8
2,-419.8
3,-393.7
4,-318.8
5,-527.8
6,-268.0